1.
! AcV3Zn4O12 GGA+U optimized geometry; values from VASP
&SYSTEM
  ibrav = 0, nat = 20, ntyp = 4
/
ATOMIC_SPECIES
Ac 227.00 Ac.upf
V 50.94 V.upf
Zn 65.41 Zn.upf
O 16.00 O.upf
ATOMIC_POSITIONS angstrom
Ac 0.0000 0.0000 0.0000
V 3.8437 0.0000 0.0000
V 0.0000 3.8437 0.0000
V 0.0000 0.0000 3.8437
Zn 1.9218 1.9218 -1.9218
Zn 1.9218 -1.9218 1.9218
Zn -1.9218 1.9218 1.9218
Zn 1.9218 1.9218 1.9218
O 3.8437 2.5659 -1.3727
O 2.4710 0.0000 1.2778
O 5.2164 0.0000 1.2778
O 1.2778 2.4710 0.0000
O 2.5659 -1.3727 3.8437
O 0.0000 1.2778 2.4710
O 3.8437 2.5659 1.3727
O 1.2778 5.2164 0.0000
O 2.5659 1.3727 3.8437
O -1.3727 3.8437 2.5659
O 1.3727 3.8437 2.5659
O 0.0000 1.2778 5.2164
CELL_PARAMETERS angstrom
-3.8437 3.8437 3.8437
3.8437 -3.8437 3.8437
3.8437 3.8437 -3.8437
! space-group type = Im-3, No. 204

***

2.
! Ac2VZnO6 GGA+U optimized geometry; values from VASP
&SYSTEM
  ibrav = 0, nat = 20, ntyp = 4
/
ATOMIC_SPECIES
Ac 227.00 Ac.upf
V 50.94 V.upf
Zn 65.41 Zn.upf
O 16.00 O.upf
ATOMIC_POSITIONS angstrom
Ac -0.0379 0.1364 1.9847
Ac -2.9053 2.7344 5.9589
Ac 2.9204 3.0072 1.9895
Ac 0.0530 5.6052 5.9637
V 2.8750 0.0000 0.0000
V 0.0075 2.8708 3.9742
Zn -2.8675 0.0000 3.9742
Zn 0.0000 2.8708 0.0000
O -4.3958 1.2566 7.6666
O -1.5284 1.6142 3.6925
O -4.1163 4.2027 7.6507
O -1.2489 4.4098 3.6765
O -2.4883 0.0496 6.0793
O 0.3792 2.8213 2.1051
O -0.3641 2.9204 5.8432
O 2.5034 5.6921 1.8690
O 1.2640 1.3319 4.2718
O 4.1314 1.5389 0.2976
O 1.5435 4.1274 4.2559
O 4.4109 4.4850 0.2817
CELL_PARAMETERS angstrom
5.7500 0.0000 0.0000
0.0000 5.7416 0.0000
-5.7349 0.0000 7.9483
! space-group type = P2_1/c, No. 14

***

3.
! AcZr2VO8 GGA+U optimized geometry; values from VASP
&SYSTEM
  ibrav = 0, nat = 12, ntyp = 4
/
ATOMIC_SPECIES
Ac 227.00 Ac.upf
Zr 91.22 Zr.upf
V 50.94 V.upf
O 16.00 O.upf
ATOMIC_POSITIONS angstrom
Ac 0.0000 0.0000 0.0000
Zr 2.3681 1.7701 2.4846
Zr 2.3681 4.9789 2.4846
V 0.0000 3.3745 0.0000
O 0.9282 2.0606 0.9486
O 0.9282 4.6884 0.9486
O 1.2891 3.3745 3.5004
O 1.4593 0.0000 3.2916
O 3.2769 0.0000 1.6777
O 3.4471 3.3745 1.4689
O 3.8080 2.0606 4.0206
O 3.8080 4.6884 4.0206
CELL_PARAMETERS angstrom
4.9648 0.0000 0.0000
0.0000 6.7490 0.0000
-0.2286 0.0000 4.9692
! space-group type = P2/m, No. 10

***

4.
! Ac2ZrV3O12 GGA+U optimized geometry; values from VASP
&SYSTEM
  ibrav = 0, nat = 18, ntyp = 4
/
ATOMIC_SPECIES
Ac 227.00 Ac.upf
Zr 91.22 Zr.upf
V 50.94 V.upf
O 16.00 O.upf
ATOMIC_POSITIONS angstrom
Ac 0.0000 0.0000 1.8401
Ac 0.0000 0.0000 13.8080
Zr 0.0000 0.0000 7.8240
V -1.7726 -1.0234 5.2160
V -1.7726 1.0234 10.4321
V 0.0000 2.0468 5.2160
O -1.9210 -1.1091 7.1133
O 0.0000 -1.5813 5.4968
O -1.3694 0.7906 5.4968
O 0.0000 -2.2182 8.5348
O -1.9210 1.1091 8.5348
O -1.3694 -0.7906 10.1513
O 1.3694 0.7907 5.4968
O 1.9210 -1.1091 7.1133
O 0.0000 2.2182 7.1133
O 1.3694 -0.7907 10.1513
O 0.0000 1.5813 10.1513
O 1.9210 1.1091 8.5348
CELL_PARAMETERS angstrom
3.5452 2.0468 5.2160
-3.5452 2.0468 5.2160
0.0000 -4.0936 5.2160
! space-group type = R-3m, No. 166

***

Q: Which E_tot values were calculated for the entries above? A: -6.18, -7.31, -8.48, -7.84, in eV per atom.